Computed, not measured: crystalline NiAgSe2N at its relaxed geometry at the PBE level of DFT.

abc: 5.1409 5.1409 3.9166
angles: 90.00 90.00 90.00
Last column: nearest neighbours and their distance in Å.
Element x y z (fractional)
1 Ni 0.0000 0.0000 0.0000  8 Se 3.23
2 Ag 0.5000 0.5000 0.5000  2 N 1.96
3 Se 0.0000 0.5000 0.5000  2 Ag 2.57
4 Se 0.5000 0.0000 0.5000  2 Ag 2.57
5 N 0.5000 0.5000 0.0000  2 Ag 1.96

Values from the calculation:
* formation energy (no corrections): 1.480 eV/atom
* theoretical density: 5430 kg/m3
* M_tot: 2.8 μB per formula unit